Run A
# PmPrZnHg

PmPrZnHg after structural relaxation (PBE, Alexandria).

Cell lengths 3.746, 3.746, 7.581 Å; angles 90.00, 90.00, 90.00 degrees
Element x y z (fractional)
Hg (0.000, 0.000, 0.849)
Pr (0.500, 0.500, 0.125)
Pm (0.500, 0.500, 0.590)
Zn (0.000, 0.000, 0.364)

Output
Fermi-level density of states: 3.9 states/eV per cell

Run B
# PmPrZnHg

PmPrZnHg after structural relaxation (PBE, Alexandria).

Cell lengths 5.337, 5.337, 5.337 Å; angles 60.00, 60.00, 60.00 degrees
Site moments in Bohr magnetons follow the coordinates.
Element x y z (fractional)
Pm (0.750, 0.750, 0.750)  0.22
Pr (0.250, 0.250, 0.250)  0.20
Zn (0.000, 0.000, 0.000)  0.02
Hg (0.500, 0.500, 0.500)  0.02

Output
Fermi-level density of states: 4.3 states/eV per cell

run A comes first in stability; the runner-up is 0.026 eV/atom higher.

Run A
# Pm8HgPt2

Pm8HgPt2 after structural relaxation (PBE, Alexandria).

Cell lengths 5.200, 7.002, 9.810 Å; angles 109.13, 105.37, 90.00 degrees
Element x y z (fractional)
Pm (0.029, 0.777, 0.059)
Pm (0.800, 0.653, 0.600)
Pt (0.170, 0.731, 0.341)
Hg (0.500, 0.000, 0.000)
Pm (0.596, 0.482, 0.192)
Pm (0.678, 0.003, 0.355)
Pm (0.404, 0.518, 0.808)
Pm (0.322, 0.997, 0.645)
Pm (0.200, 0.347, 0.400)
Pm (0.971, 0.223, 0.941)
Pt (0.830, 0.269, 0.659)

Output
Fermi-level density of states: 9.9 states/eV per cell

Run B
# Pm8HgPt2

Pm8HgPt2 after structural relaxation (PBE, Alexandria).

Cell lengths 5.727, 8.160, 8.160 Å; angles 115.09, 98.27, 98.27 degrees
Element x y z (fractional)
Pm (0.423, 0.921, 0.672)
Pm (0.577, 0.085, 0.334)
Pm (0.577, 0.334, 0.085)
Pm (0.811, 0.615, 0.615)
Pt (0.500, 0.703, 0.304)
Pm (0.000, 0.761, 0.245)
Pm (0.000, 0.245, 0.761)
Pt (0.500, 0.304, 0.703)
Pm (0.423, 0.672, 0.921)
Pm (0.189, 0.391, 0.391)
Hg (0.002, 0.003, 0.003)

Output
Fermi-level density of states: 13.0 states/eV per cell

run A comes first in stability; the runner-up is 0.079 eV/atom higher.